PmBiSe2Cl2: optimized geometry, PBE.

Summary:
Crystal system: tetragonal
Space-group type: P4mm
Raw total energy, eV/atom: -4.480

Lattice parameters (Å, degrees): 4.949 4.949 7.073 90.00 90.00 90.00
Fractional positions:
Se 0.000 0.500 0.002
Se 0.500 0.000 0.002
Cl 0.000 0.000 0.373
Cl 0.500 0.500 0.601
Pm 0.500 0.500 0.227
Bi 0.000 0.000 0.796

SnPdPt: optimized geometry, PBE.

Summary:
Crystal system: orthorhombic
Space-group type: Pnma
Raw total energy, eV/atom: -5.526
Distance to the lowest polymorph of the same formula, eV/atom: 0.026

Lattice parameters (Å, degrees): 6.330 3.920 8.426 90.00 90.00 90.00
Fractional positions:
Pd 0.878 0.250 0.583
Pd 0.122 0.750 0.417
Pd 0.622 0.750 0.083
Pd 0.378 0.250 0.917
Sn 0.314 0.250 0.600
Sn 0.686 0.750 0.400
Sn 0.814 0.250 0.900
Sn 0.186 0.750 0.100
Pt 0.090 0.750 0.788
Pt 0.910 0.250 0.212
Pt 0.410 0.250 0.288
Pt 0.590 0.750 0.712

Nd3In3AgPtAu: optimized geometry, PBE.

Summary:
Crystal system: hexagonal
Space-group type: P-6
Raw total energy, eV/atom: -4.583

Lattice parameters (Å, degrees): 7.874 7.874 4.068 90.00 90.00 120.00
Fractional positions:
Nd 0.580 0.989 0.000
Nd 0.409 0.420 0.000
Nd 0.011 0.591 0.000
Au 0.667 0.333 0.500
In 0.002 0.258 0.500
In 0.256 0.998 0.500
In 0.742 0.744 0.500
Ag 0.000 0.000 0.000
Pt 0.333 0.667 0.500